## DyHoBr2NCl (PBE)

Data for an optimized crystal structure of DyHoBr2NCl.

Computed properties:
Energy above the most stable polymorph in this dataset, meV per atom: 0
SG: C2/m

abc: 9.102 9.102 11.332
angles: 123.28 123.28 24.41
Sites, in units of the cell vectors:
Dy1 0.134 0.134 0.286
Dy2 0.866 0.866 0.714
Ho1 0.423 0.423 0.038
Ho2 0.577 0.577 0.962
Br1 0.044 0.044 0.748
Br2 0.332 0.332 0.483
Br3 0.668 0.668 0.517
Br4 0.956 0.956 0.252
N1 0.427 0.427 0.845
N2 0.573 0.573 0.155
Cl1 0.205 0.205 0.113
Cl2 0.795 0.795 0.887

## DyHoAsO (PBE)

Data for an optimized crystal structure of DyHoAsO.

Computed properties:
Energy above the most stable polymorph in this dataset, meV per atom: 79
SG: P4/nmm

abc: 4.318 4.318 8.746
angles: 90.00 90.00 90.00
Sites, in units of the cell vectors:
Dy1 0.250 0.250 0.102
Dy2 0.750 0.750 0.898
Ho1 0.250 0.750 0.500
Ho2 0.750 0.250 0.500
As1 0.250 0.250 0.706
As2 0.750 0.750 0.294
O1 0.250 0.750 0.000
O2 0.750 0.250 0.000

## NaTmGe (PBE)

Data for an optimized crystal structure of NaTmGe.

Computed properties:
DFT total energy, eV per cell: -45.43
SG: F-43m

abc: 6.828 6.828 6.828
angles: 90.00 90.00 90.00
Sites, in units of the cell vectors:
Na1 0.000 0.000 0.000
Na2 0.000 0.500 0.500
Na3 0.500 0.000 0.500
Na4 0.500 0.500 0.000
Tm1 0.000 0.000 0.500
Tm2 0.000 0.500 0.000
Tm3 0.500 0.000 0.000
Tm4 0.500 0.500 0.500
Ge1 0.250 0.250 0.250
Ge2 0.250 0.750 0.750
Ge3 0.750 0.250 0.750
Ge4 0.750 0.750 0.250

## Zn2Mo (PBE)

Data for an optimized crystal structure of Zn2Mo.

Computed properties:
SG: Cmcm
Formation enthalpy at 0 K, kJ per mole of atoms: 5.5

abc: 2.712 14.337 4.548
angles: 90.00 90.00 90.00
Sites, in units of the cell vectors:
Zn1 0.000 0.118 0.250
Zn2 0.000 0.219 0.750
Zn3 0.000 0.781 0.250
Zn4 0.000 0.882 0.750
Zn5 0.500 0.281 0.250
Zn6 0.500 0.382 0.750
Zn7 0.500 0.618 0.250
Zn8 0.500 0.719 0.750
Mo1 0.000 0.450 0.250
Mo2 0.000 0.550 0.750
Mo3 0.500 0.050 0.750
Mo4 0.500 0.950 0.250

## LiCuMoS3 (PBE)

Data for an optimized crystal structure of LiCuMoS3.

Computed properties:
DFT total energy, eV per cell: -64.22
SG: Cmcm

abc: 6.362 6.362 9.354
angles: 90.00 90.00 149.48
Sites, in units of the cell vectors:
Li1 0.238 0.762 0.750
Li2 0.762 0.238 0.250
Cu1 0.463 0.537 0.250
Cu2 0.537 0.463 0.750
Mo1 0.000 0.000 0.000
Mo2 0.000 0.000 0.500
S1 0.092 0.908 0.250
S2 0.359 0.641 0.055
S3 0.359 0.641 0.445
S4 0.641 0.359 0.555
S5 0.641 0.359 0.945
S6 0.908 0.092 0.750

## TbSbPO (PBE)

Data for an optimized crystal structure of TbSbPO.

Computed properties:
Energy above the most stable polymorph in this dataset, meV per atom: 340
SG: P4/mmm

abc: 3.863 3.863 5.227
angles: 90.00 90.00 90.00
Sites, in units of the cell vectors:
Tb1 0.000 0.000 0.000
Sb1 0.500 0.500 0.500
P1 0.500 0.500 0.000
O1 0.000 0.000 0.500

## NaNbCu2S4 (PBE)

Data for an optimized crystal structure of NaNbCu2S4.

Computed properties:
DFT total energy, eV per cell: -41.53
SG: P-42m

abc: 5.522 5.522 6.706
angles: 90.00 90.00 90.00
Sites, in units of the cell vectors:
Na1 0.000 0.000 0.000
Nb1 0.000 0.000 0.500
Cu1 0.000 0.500 0.500
Cu2 0.500 0.000 0.500
S1 0.245 0.245 0.305
S2 0.245 0.755 0.695
S3 0.755 0.245 0.695
S4 0.755 0.755 0.305

## Na4Zn2AgAu (PBE)

Data for an optimized crystal structure of Na4Zn2AgAu.

Computed properties:
DFT total energy, eV per cell: -14.41
SG: P-4m2

abc: 4.851 4.851 6.858
angles: 90.00 90.00 90.00
Sites, in units of the cell vectors:
Na1 0.000 0.000 0.000
Na2 0.000 0.500 0.249
Na3 0.500 0.000 0.751
Na4 0.500 0.500 0.500
Zn1 0.000 0.500 0.752
Zn2 0.500 0.000 0.248
Ag1 0.000 0.000 0.500
Au1 0.500 0.500 0.000